Entry 1:
A relaxed structure of CsAgPtS3. Source: the Open Quantum Materials Database, functional GGA-PBE.

Cell: 8.5138 3.8526 9.8956 Å, 90.00 110.56 90.00°
Closest atoms and distances in Å follow each position.
Space group P2_1/m (No. 11)
Asymmetric unit:
Cs (0.2487, 0.2500, 0.2055) (multiplicity 2)  7 S 3.53-3.90, 3 Ag 3.73-3.90, 2 Cs 3.85
Ag (0.4367, 0.2500, 0.8984) (multiplicity 2)  3 S 2.52-2.60, 2 Ag 2.72
Pt (0.1530, 0.7500, 0.6372) (multiplicity 2)  6 S 2.39-2.47
S (0.0295, 0.7500, 0.3800) (multiplicity 2)  3 Pt 2.39-2.44
S (0.2315, 0.7500, 0.9003) (multiplicity 2)  1 Pt 2.45, 2 Ag 2.60
S (0.3293, 0.2500, 0.6263) (multiplicity 2)  2 Pt 2.47, 1 Ag 2.52

- size of the total moment (μB/cell) = 0.00
- uncorrected energy (eV per formula unit) = -24.7


Entry 2:
A relaxed structure of Nb2InB. Source: the Open Quantum Materials Database, functional GGA-PBE.

Cell: 3.2442 3.2442 14.6422 Å, 90.00 90.00 120.00°
Closest atoms and distances in Å follow each position.
Space group P6_3/mmc (No. 194)
Asymmetric unit:
Nb (0.3333, 0.6667, 0.0853) (multiplicity 4)  3 B 2.25
In (0.3333, 0.6667, 0.7500) (multiplicity 2)  6 Nb 3.05, 6 In 3.24
B (0.0000, 0.0000, 0.0000) (multiplicity 2)  6 Nb 2.25

- size of the total moment (μB/cell) = 0.00
- uncorrected energy (eV per formula unit) = -31.2


Entry 3:
A relaxed structure of SiGeMo6. Source: the Open Quantum Materials Database, functional GGA-PBE.

Cell: 4.9420 4.9420 4.9420 Å, 90.00 90.00 90.00°
Closest atoms and distances in Å follow each position.
Space group Pm-3 (No. 200)
Asymmetric unit:
Si (0.0000, 0.0000, 0.0000) (multiplicity 1)  12 Mo 2.76
Ge (0.5000, 0.5000, 0.5000) (multiplicity 1)  12 Mo 2.77
Mo (0.0000, 0.5000, 0.2481) (multiplicity 6)  2 Mo 2.45-2.49

- size of the total moment (μB/cell) = 0.00
- uncorrected energy (eV per formula unit) = -76.9


Entry 4:
A relaxed structure of LuAlCuIr. Source: the Open Quantum Materials Database, functional GGA-PBE.

Cell: 6.4634 6.4634 6.4634 Å, 90.00 90.00 90.00°
Closest atoms and distances in Å follow each position.
Space group F-43m (No. 216)
Asymmetric unit:
Lu (0.0000, 0.0000, 0.0000) (multiplicity 4)  4 Ir 2.80, 4 Al 2.80
Al (0.2500, 0.2500, 0.2500) (multiplicity 4)  4 Cu 2.80, 4 Lu 2.80
Cu (0.0000, 0.0000, 0.5000) (multiplicity 4)  4 Al 2.80, 4 Ir 2.80
Ir (0.2500, 0.2500, 0.7500) (multiplicity 4)  4 Cu 2.80, 4 Lu 2.80

- size of the total moment (μB/cell) = 0.00
- uncorrected energy (eV per formula unit) = -21.8


Entry 5:
A relaxed structure of Cs2LuScS4. Source: the Open Quantum Materials Database, functional GGA-PBE.

Cell: 3.9560 3.9560 15.9344 Å, 90.00 90.00 120.00°
Closest atoms and distances in Å follow each position.
Space group P-3m1 (No. 164)
Asymmetric unit:
Cs (0.3333, 0.6667, 0.2530) (multiplicity 2)  6 S 3.44
Lu (0.0000, 0.0000, 0.0000) (multiplicity 1)  6 S 2.71
Sc (0.0000, 0.0000, 0.5000) (multiplicity 1)  6 S 2.66
S (0.3333, 0.6667, 0.5852) (multiplicity 2)  3 Sc 2.66
S (0.3333, 0.6667, 0.9087) (multiplicity 2)  3 Lu 2.71

- size of the total moment (μB/cell) = 0.00
- uncorrected energy (eV per formula unit) = -43.0


Entry 6:
A relaxed structure of NaTmCoSe3. Source: the Open Quantum Materials Database, functional GGA-PBE.

Cell: 11.0468 4.0355 12.0254 Å, 90.00 90.00 90.00°
Closest atoms and distances in Å follow each position.
Space group Pnma (No. 62)
Asymmetric unit:
Na (0.1805, 0.2500, 0.0033) (multiplicity 4)  7 Se 3.02-3.21, 2 Co 3.32
Tm (0.0152, 0.2500, 0.3080) (multiplicity 4)  6 Se 2.83-3.00
Co (0.2504, 0.2500, 0.7132) (multiplicity 4)  4 Se 2.37-2.38
Se (0.0487, 0.7500, 0.1453) (multiplicity 4)  1 Co 2.37
Se (0.1042, 0.2500, 0.5675) (multiplicity 4)  1 Co 2.38
Se (0.2220, 0.7500, 0.8136) (multiplicity 4)  2 Co 2.37

- size of the total moment (μB/cell) = 10.22
- uncorrected energy (eV per formula unit) = -29.5


> The lowest uncorrected energy belongs to which entry?

SiGeMo6